Entry 1:
The following is a DFT calculation (PBE) of a relaxed Ti8NbGa2 crystal.

Values from the calculation:
Mass density: 5.39 Mg/m³
Total moment: 0.0 μB per formula unit
Volume: 17.2 Å³/atom
Formation energy: -68 meV/atom
DOS at the Fermi energy: 0.90 states/eV per atom
Total energy: -0.535 Ry/atom

The structure in CIF format:
```
data_Ti8NbGa2
_chemical_formula_sum 'Ti16 Nb2 Ga4'
_space_group_name_H-M_alt 'C 1 2/m 1'
_space_group_IT_number 12
_space_group_name_Hall '-C 2y'
_cell_length_a 7.2980
_cell_length_b 12.5261
_cell_length_c 4.8456
_cell_angle_alpha 90.00
_cell_angle_beta 121.18
_cell_angle_gamma 90.00
loop_
_atom_site_label
_atom_site_fract_x
_atom_site_fract_y
_atom_site_fract_z
Ti1 0.0000 0.2098 0.0000
Ti2 0.0920 0.5000 0.7916
Ti3 0.2136 0.1116 0.6578
Nb1 0.0000 0.0000 0.0000
Ga1 0.0000 0.3038 0.5000
```

Entry 2:
The following is a DFT calculation (PBE) of a relaxed Er2HPb crystal.

Values from the calculation:
Mass density: 10.42 Mg/m³
Total moment: 0.0 μB per formula unit
Volume: 21.6 Å³/atom
DOS at the Fermi energy: 0.68 states/eV per atom
Total energy: -0.322 Ry/atom

The structure in CIF format:
```
data_Er2HPb
_chemical_formula_sum 'Er6 H3 Pb3'
_space_group_name_H-M_alt 'R -3 m'
_space_group_IT_number 166
_space_group_name_Hall '-R 3 2"'
_cell_length_a 3.5358
_cell_length_b 3.5358
_cell_length_c 23.9597
_cell_angle_alpha 90.00
_cell_angle_beta 90.00
_cell_angle_gamma 120.00
loop_
_atom_site_label
_atom_site_fract_x
_atom_site_fract_y
_atom_site_fract_z
Er1 0.0000 0.0000 0.2229
H1 0.0000 0.0000 0.5000
Pb1 0.0000 0.0000 0.0000
```

Entry 3:
The following is a DFT calculation (PBE) of a relaxed Er2TmCd8 crystal.

Values from the calculation:
Mass density: 8.84 Mg/m³
Total moment: 0.0 μB per formula unit
Volume: 24.0 Å³/atom
Formation energy: -199 meV/atom
DOS at the Fermi energy: 0.50 states/eV per atom
Total energy: -0.154 Ry/atom

The structure in CIF format:
```
data_Er2TmCd8
_chemical_formula_sum 'Er4 Tm2 Cd16'
_space_group_name_H-M_alt 'C 1 2/m 1'
_space_group_IT_number 12
_space_group_name_Hall '-C 2y'
_cell_length_a 8.0510
_cell_length_b 15.7703
_cell_length_c 5.3312
_cell_angle_alpha 90.00
_cell_angle_beta 128.84
_cell_angle_gamma 90.00
loop_
_atom_site_label
_atom_site_fract_x
_atom_site_fract_y
_atom_site_fract_z
Er1 0.0000 0.1875 0.0000
Tm1 0.0000 0.5000 0.5000
Cd1 0.0000 0.3000 0.5000
Cd2 0.0239 0.0000 0.7757
Cd3 0.2315 0.3696 0.2505
```